No. 1
This record from Alexandria describes crystalline TbHo3Mg at its relaxed geometry. The functional is PBE.

The structure in POSCAR format:
```
TbHo3Mg
1.0
-2.5214 -0.3699 2.5704
-3.4371 -5.4412 -1.6055
7.8916 -7.8217 6.6140
Tb Ho Mg
2 6 2
direct
0.2345 0.5311 0.7649 Tb
0.7655 0.4689 0.2351 Tb
0.1512 0.6976 0.4348 Ho
0.3664 0.2673 0.0215 Ho
0.0342 0.9312 0.1881 Ho
0.8488 0.3024 0.5652 Ho
0.9658 0.0688 0.8119 Ho
0.6336 0.7327 0.9785 Ho
0.5631 0.8741 0.6216 Mg
0.4369 0.1259 0.3784 Mg
```

Its total energy is -0.1473 hartree per atom. Its space group is C2/m (12). The density of states at the Fermi level is 13.84 states/eV/cell.


No. 2
This record from Alexandria describes crystalline TbHo4Mg at its relaxed geometry. The functional is PBE.

The structure in POSCAR format:
```
TbHo4Mg
1.0
-2.8334 0.9155 1.9189
0.1374 -3.1116 1.6875
8.5732 5.7548 9.9130
Tb Ho Mg
1 4 1
direct
0.0000 0.0000 0.0000 Tb
0.5000 0.5000 0.1753 Ho
0.0000 0.0000 0.6540 Ho
0.0000 0.0000 0.3460 Ho
0.5000 0.5000 0.8247 Ho
0.5000 0.5000 0.5000 Mg
```

Its total energy is -0.1507 hartree per atom. Its space group is P4/mmm (123). The density of states at the Fermi level is 8.54 states/eV/cell.